# CsRe2HgBi

A PBEsol-optimized structure of CsRe2HgBi (SCAN, Alexandria via LeMat-Bulk).

Its raw total energy is -314.63 eV per formula unit. As for the magnetization: 6.67 μB/f.u. The energy of formation is 2.425 eV/atom. The space group is No. 123.

The structure in POSCAR format:
```
CsRe2HgBi
1.0
5.172 0.000 0.000
0.000 5.172 0.000
0.000 0.000 5.914
Cs Re Bi Hg
1 2 1 1
Cartesian
0.000 0.000 2.957 Cs
0.000 2.586 0.000 Re
2.586 0.000 0.000 Re
2.586 2.586 2.957 Bi
0.000 0.000 0.000 Hg
```